(1)
4
Lattice="-3.167 1.105 1.187 -2.988 -1.304 -1.426 -2.069 -5.204 4.657" Properties=species:S:1:pos:R:3 comment="SCAN HfSe2N, PBEsol geometry" crystal_system=trigonal raw_formation_energy_ev_per_atom=0.20 pbc="T T T"
Hf -4.112 -2.702 2.209
N 0.000 0.000 0.000
Se -2.064 -3.881 3.436
Se -6.159 -1.523 0.981

(2)
6
Lattice="-1.732 4.812 -0.126 -2.566 1.901 3.997 2.156 3.573 2.959" Properties=species:S:1:pos:R:3 comment="SCAN BeAlMo4, PBEsol geometry" crystal_system=cubic e_form_ev_per_atom=0.5235 pbc="T T T"
Mo -0.802 3.850 2.557
Mo 0.282 5.647 4.044
Mo -2.092 4.806 4.566
Mo -1.672 6.270 2.493
Be 0.000 0.000 0.000
Al -1.606 7.715 5.123

(3)
5
Lattice="-3.412 1.412 3.630 -3.332 -3.558 -1.748 2.017 -3.487 3.253" Properties=species:S:1:pos:R:3 comment="SCAN CdHg3S, PBEsol geometry" crystal_system=cubic raw_formation_energy_ev_per_atom=0.34 pbc="T T T"
Hg 1.009 -1.744 1.627
Hg -1.706 0.706 1.815
Hg -1.666 -1.779 -0.874
S 0.000 0.000 0.000
Cd -2.363 -2.816 2.568

(4)
4
Lattice="-0.820 1.947 -2.918 -3.183 -1.673 -0.222 -3.502 6.005 4.991" Properties=species:S:1:pos:R:3 comment="SCAN Ca2ScTa, PBEsol geometry" crystal_system=tetragonal e_form_ev_per_atom=0.4712 e_above_lowest_polymorph_mev_per_atom=0.0 pbc="T T T"
Ta -4.465 4.361 1.941
Ca -3.317 5.687 4.727
Ca -3.030 1.900 -0.105
Sc -1.948 3.339 2.775

no.,raw total energy (eV per atom)
1,-27.8321
2,-24.7509
3,-48.5641
4,-24.5656